Computed, not measured: ScHN2F after structural relaxation at the PBE level of DFT.

Computed properties:
The value obtained for the density of states at the Fermi level is 0.178 states/eV per atom. The calculation puts the polymorph energy (0 for the lowest one) at 2.95 eV/f.u. The total magnetization is 1.004 μB/atom.

a = 4.447 Å, b = 4.447 Å, c = 4.122 Å
α = 90.00°, β = 90.00°, γ = 90.00°
Each line ends with the local moment (μB).
Fractional coordinates of all 5 atoms:
N  0.000  0.500  0.000  1.28
N  0.500  0.000  0.000  1.28
H  0.500  0.500  0.500  0.39
F  0.000  0.000  0.500  0.08
Sc  0.000  0.000  0.000  -0.01

***

Computed, not measured: HoGaNi4Ge2 after structural relaxation at the PBE level of DFT.

Computed properties:
The value obtained for the density of states at the Fermi level is 0.669 states/eV per atom. The total magnetization is 0.000 μB/atom. The energy of formation from the pure elements is -0.4403 eV per atom.

a = 4.030 Å, b = 4.030 Å, c = 8.664 Å
α = 76.55°, β = 76.55°, γ = 60.00°
Fractional coordinates of all 8 atoms:
Ni  0.867  0.867  0.400
Ni  0.593  0.593  0.221
Ni  0.407  0.407  0.779
Ni  0.133  0.133  0.600
Ga  0.500  0.500  0.500
Ge  0.748  0.748  0.755
Ge  0.252  0.252  0.245
Ho  0.000  0.000  0.000

***

Computed, not measured: KLi2BN2 after structural relaxation at the PBE level of DFT.

Computed properties:
The value obtained for the density of states at the Fermi level is 0.000 states/eV per atom. The total magnetization is 0.000 μB/atom. Its formation energy (no corrections) is -0.727 eV/atom.

a = 3.949 Å, b = 3.948 Å, c = 9.242 Å
α = 90.00°, β = 90.00°, γ = 90.00°
Fractional coordinates of all 12 atoms:
Li  0.000  0.500  0.250
Li  0.000  0.500  0.750
Li  0.500  0.000  0.250
Li  0.500  0.000  0.750
B  0.000  0.000  0.000
B  0.500  0.500  0.500
N  0.000  0.000  0.146
N  0.500  0.500  0.646
N  0.500  0.500  0.354
N  0.000  0.000  0.854
K  0.000  0.000  0.500
K  0.500  0.500  0.000

***

Computed, not measured: Ac2La3Tl4 after structural relaxation at the PBE level of DFT.

Computed properties:
The value obtained for the density of states at the Fermi level is 1.032 states/eV per atom. The calculation puts the polymorph energy (0 for the lowest one) at 0.00 eV/f.u. The total magnetization is 0.000 μB/atom. The energy of formation from the pure elements is -0.3760 eV per atom.

a = 8.359 Å, b = 8.898 Å, c = 8.948 Å
α = 90.00°, β = 90.00°, γ = 107.13°
Fractional coordinates of all 18 atoms:
La  0.000  0.500  0.500
La  0.749  0.760  0.336
La  0.251  0.240  0.664
La  0.751  0.240  0.836
La  0.249  0.760  0.164
La  0.500  0.500  0.000
Tl  0.628  0.506  0.631
Tl  0.644  0.915  0.039
Tl  0.128  0.506  0.869
Tl  0.872  0.494  0.131
Tl  0.144  0.915  0.461
Tl  0.856  0.085  0.539
Tl  0.372  0.494  0.369
Tl  0.356  0.085  0.961
Ac  0.936  0.815  0.816
Ac  0.436  0.815  0.684
Ac  0.564  0.185  0.316
Ac  0.064  0.185  0.184

***

Computed, not measured: Zr2CdB after structural relaxation at the PBE level of DFT.

Computed properties:
The value obtained for the density of states at the Fermi level is 0.918 states/eV per atom. The calculation puts the polymorph energy (0 for the lowest one) at 0.00 eV/f.u. The total magnetization is 0.009 μB/atom. The energy of formation from the pure elements is 0.1746 eV per atom.

a = 7.116 Å, b = 7.116 Å, c = 5.908 Å
α = 52.97°, β = 52.97°, γ = 90.00°
Fractional coordinates of all 8 atoms:
B  0.500  0.500  0.000
B  0.250  0.750  0.500
Cd  0.000  0.000  0.000
Cd  0.750  0.250  0.500
Zr  0.875  0.810  0.750
Zr  0.375  0.440  0.750
Zr  0.560  0.125  0.250
Zr  0.190  0.625  0.250

***

Computed, not measured: MoI2 after structural relaxation at the PBE level of DFT.

Computed properties:
The total magnetization is 0.000 μB/atom. Its formation energy (no corrections) is -0.377 eV/atom.

a = 10.661 Å, b = 10.661 Å, c = 12.809 Å
α = 90.00°, β = 90.00°, γ = 106.08°
Fractional coordinates of all 36 atoms:
I  0.092  0.324  0.933
I  0.908  0.676  0.067
I  0.779  0.221  0.500
I  0.279  0.721  0.000
I  0.951  0.182  0.208
I  0.824  0.592  0.567
I  0.676  0.908  0.067
I  0.157  0.157  0.657
I  0.657  0.657  0.843
I  0.318  0.549  0.708
I  0.721  0.279  0.000
I  0.049  0.818  0.792
I  0.182  0.951  0.208
I  0.549  0.318  0.708
I  0.221  0.779  0.500
I  0.324  0.092  0.933
I  0.343  0.343  0.157
I  0.843  0.843  0.343
I  0.176  0.408  0.433
I  0.818  0.049  0.792
I  0.592  0.824  0.567
I  0.451  0.682  0.292
I  0.408  0.176  0.433
I  0.682  0.451  0.292
Mo  0.612  0.388  0.500
Mo  0.132  0.132  0.068
Mo  0.388  0.612  0.500
Mo  0.868  0.868  0.932
Mo  0.068  0.068  0.868
Mo  0.432  0.432  0.368
Mo  0.888  0.112  0.000
Mo  0.632  0.632  0.432
Mo  0.368  0.368  0.568
Mo  0.112  0.888  0.000
Mo  0.568  0.568  0.632
Mo  0.932  0.932  0.132